Record 1
{
  "formula": "Hf3TcIr2",
  "functional": "PBE",
  "state": "optimized geometry",
  "lattice_angstrom": [[3.309, 0.000, 0.000], [0.000, 3.309, 0.000], [0.000, 0.000, 9.589]],
  "species": ["Hf", "Hf", "Hf", "Ir", "Ir", "Tc"],
  "frac_coords": [[0.000, 0.000, 0.337], [0.000, 0.000, 0.000], [0.000, 0.000, 0.663], [0.500, 0.500, 0.163], [0.500, 0.500, 0.837], [0.500, 0.500, 0.500]],
  "energy_ev_per_atom": -10.53,
  "ef_mev_per_atom": -870,
  "total_magnetization_mub_per_fu": 0.00,
  "sg": "P4/mmm"
}

Record 2
{
  "formula": "NaSr2F2",
  "functional": "PBE",
  "state": "optimized geometry",
  "lattice_angstrom": [[4.233, 0.000, 0.000], [0.000, 4.233, 0.000], [2.117, 2.117, 8.134]],
  "species": ["Sr", "Sr", "Na", "F", "F"],
  "frac_coords": [[0.665, 0.665, 0.669], [0.335, 0.335, 0.331], [0.000, 0.000, 0.000], [0.250, 0.750, 0.500], [0.750, 0.250, 0.500]],
  "formation_energy_uncorrected_kj_per_mol_atoms": -220,
  "energy_ev_per_atom": -3.97,
  "total_magnetization_mub_per_fu": 0.00,
  "sg": "I4/mmm"
}

Record 3
{
  "formula": "In3SbBr",
  "functional": "PBE",
  "state": "optimized geometry",
  "lattice_angstrom": [[-2.563, 5.045, -1.353], [-3.038, -2.666, -4.186], [-4.250, -1.137, 3.808]],
  "species": ["In", "In", "In", "Br", "Sb"],
  "frac_coords": [[0.000, 0.500, 0.000], [0.000, 0.000, 0.500], [0.500, 0.000, 0.000], [0.000, 0.000, 0.000], [0.500, 0.500, 0.500]],
  "formation_energy_uncorrected_kj_per_mol_atoms": 31,
  "energy_ev_per_atom": -2.48,
  "total_magnetization_mub_per_fu": 0.00,
  "sg": "Pm-3m"
}